1.
Pr3Mg4Ni4: optimized geometry, PBE.

Cell and atoms, written as extended XYZ:
```
11
Lattice="-1.020 3.880 -0.552 0.445 -1.000 -7.856 -6.613 -3.276 4.046" Properties=species:S:1:pos:R:3 pbc="T T T"
Pr -1.643 -0.437 -0.037
Pr -5.545 0.041 -4.323
Pr 0.223 -0.500 -3.928
Mg -4.603 -1.012 1.393
Mg -2.754 0.997 -2.762
Mg -2.585 0.616 -5.754
Mg -4.434 -1.393 -1.599
Ni -2.914 -1.334 -3.999
Ni -4.274 0.938 -0.362
Ni -0.141 1.112 -6.780
Ni -0.433 1.768 -1.627
```

---

2.
PrMg3Ni2: optimized geometry, PBE.

Cell and atoms, written as extended XYZ:
```
12
Lattice="4.019 0.000 0.000 -2.009 8.351 -0.463 0.000 -4.200 7.490" Properties=species:S:1:pos:R:3 pbc="T T T"
Pr 2.009 2.271 6.492
Pr 0.000 1.880 0.536
Mg 0.000 3.073 3.790
Mg 2.009 5.133 4.273
Mg 2.009 -1.028 5.524
Mg 0.000 5.178 1.504
Mg 0.000 -0.982 2.755
Mg 2.009 1.078 3.237
Ni 0.000 4.686 5.950
Ni 2.009 -0.536 1.077
Ni 2.009 3.536 2.088
Ni 0.000 0.615 4.940
```

---

3.
Pr4MgNi: optimized geometry, PBE.

Calculated values
ΔE to the lowest computed polymorph: 0 meV per atom

Cell and atoms, written as extended XYZ:
```
24
Lattice="-2.550 -9.072 3.378 6.525 -5.353 5.384 -1.573 -1.440 9.781" Properties=species:S:1:pos:R:3 pbc="T T T"
Pr -1.123 -8.639 5.620
Pr 3.525 -7.226 12.924
Pr 4.500 -6.334 6.863
Pr -2.097 -9.531 11.680
Pr -0.518 -3.909 9.587
Pr 2.920 -11.955 8.956
Pr 0.402 -12.324 11.709
Pr 3.201 -11.473 16.106
Pr 3.788 -10.936 12.457
Pr -0.184 -12.861 15.357
Pr 0.767 -9.476 14.097
Pr 2.837 -14.320 13.717
Pr 0.831 -5.487 6.414
Pr -0.139 -6.375 12.443
Pr 4.853 -8.787 9.733
Pr -0.741 -11.080 8.496
Mg 1.391 -9.184 10.734
Mg 1.887 -8.729 7.648
Mg -0.668 -7.495 9.035
Mg 2.195 -6.321 9.669
Ni 0.342 -2.259 2.641
Ni -0.335 -2.879 6.850
Ni 3.150 -4.563 4.958
Ni -0.755 -6.164 4.094
```

---

4.
Pr3Mg3Ni2: optimized geometry, PBE.

Cell and atoms, written as extended XYZ:
```
8
Lattice="4.166 0.000 -1.209 -0.276 5.191 -0.952 0.361 0.094 9.029" Properties=species:S:1:pos:R:3 pbc="T T T"
Pr 0.652 3.118 2.248
Pr 3.599 2.167 4.620
Pr 0.000 0.000 0.000
Mg 2.761 0.432 1.733
Mg 1.945 2.595 -1.080
Mg 1.490 4.853 5.135
Ni 1.089 0.675 3.752
Ni 3.162 4.610 3.116
```

---

5.
Pr2MgNi2: optimized geometry, PBE.

Cell and atoms, written as extended XYZ:
```
5
Lattice="3.905 0.000 0.000 0.000 3.882 -1.104 0.000 0.058 7.585" Properties=species:S:1:pos:R:3 pbc="T T T"
Pr 1.952 2.497 1.402
Pr 1.952 1.444 5.079
Mg 0.000 0.000 0.000
Ni 0.000 0.806 2.835
Ni 0.000 3.135 3.646
```

---

6.
PrMg3Ni: optimized geometry, PBE.

Calculated values
ΔE to the lowest computed polymorph: 0 meV per atom

Cell and atoms, written as extended XYZ:
```
10
Lattice="4.380 0.000 0.000 0.000 6.931 -2.736 0.000 -0.109 7.451" Properties=species:S:1:pos:R:3 pbc="T T T"
Pr 2.190 4.840 0.290
Pr 2.190 1.982 4.425
Mg 2.190 0.000 0.000
Mg 0.000 0.463 2.171
Mg 0.000 6.360 2.544
Mg 0.000 4.629 5.050
Mg 0.000 3.411 2.358
Mg 0.000 2.194 -0.335
Ni 2.190 2.201 1.521
Ni 2.190 4.622 3.194
```

---

7.
Pr6Mg2Ni: optimized geometry, PBE.

Cell and atoms, written as extended XYZ:
```
18
Lattice="7.144 0.000 0.415 0.000 7.055 0.000 -0.469 0.000 11.436" Properties=species:S:1:pos:R:3 pbc="T T T"
Pr 6.441 0.359 3.335
Pr 5.500 4.770 6.302
Pr 5.461 4.917 11.508
Pr 4.551 1.390 6.268
Pr 4.512 1.242 11.473
Pr 4.040 3.887 3.005
Pr 0.234 6.696 8.515
Pr 1.175 2.286 5.548
Pr 1.214 2.138 0.342
Pr 2.124 5.665 5.583
Pr 2.163 5.813 0.377
Pr 2.635 3.168 8.846
Mg 6.320 2.927 8.958
Mg 3.693 6.454 8.818
Mg 2.982 0.601 3.033
Mg 0.355 4.129 2.892
Ni 3.572 3.528 0.207
Ni -0.234 0.000 5.718
```

---

8.
Pr4Mg5Ni2: optimized geometry, PBE.

Cell and atoms, written as extended XYZ:
```
11
Lattice="-3.053 0.927 -1.860 -4.544 -2.882 6.024 0.406 9.017 3.830" Properties=species:S:1:pos:R:3 pbc="T T T"
Pr -4.869 3.173 5.909
Pr -1.925 7.605 3.285
Pr -2.323 3.890 2.086
Pr -5.266 -0.542 4.709
Mg -2.362 1.303 4.529
Mg -0.769 0.841 1.682
Mg -2.272 -1.441 3.012
Mg -3.369 5.295 8.172
Mg -1.776 4.833 5.326
Ni -0.022 5.519 2.788
Ni -4.116 0.617 7.066
```

---

9.
Pr8MgNi2: optimized geometry, PBE.

Cell and atoms, written as extended XYZ:
```
11
Lattice="5.619 0.201 -0.849 -1.813 7.351 -3.348 0.217 -0.313 8.270" Properties=species:S:1:pos:R:3 pbc="T T T"
Pr 2.597 2.569 -0.922
Pr 3.113 0.622 2.030
Pr 0.484 2.885 1.818
Pr 5.325 1.818 4.501
Pr 4.316 5.627 -1.274
Pr 3.534 4.416 2.295
Pr 0.883 6.657 2.071
Pr 1.399 4.707 5.026
Mg 5.606 0.232 -0.826
Ni 1.608 5.207 -0.297
Ni 2.430 2.101 4.412
```

---

10.
PrMg6Ni6: optimized geometry, PBE.

Cell and atoms, written as extended XYZ:
```
13
Lattice="4.774 0.000 1.908 2.332 6.353 1.092 0.028 -0.003 6.855" Properties=species:S:1:pos:R:3 pbc="T T T"
Pr 0.000 0.000 0.000
Mg 3.201 4.136 5.842
Mg 3.932 2.214 4.013
Mg 0.804 2.138 4.914
Mg 1.556 4.212 3.033
Mg 1.920 1.227 2.121
Mg 5.213 5.123 7.734
Ni 1.166 3.177 0.546
Ni 3.553 3.177 1.500
Ni 0.014 -0.002 3.428
Ni 2.401 -0.002 4.382
Ni 4.184 4.878 3.384
Ni 2.950 1.472 6.471
```

---

11.
Pr3MgNi8: optimized geometry, PBE.

Cell and atoms, written as extended XYZ:
```
12
Lattice="5.102 0.000 0.000 2.551 4.419 0.000 2.551 1.473 8.414" Properties=species:S:1:pos:R:3 pbc="T T T"
Pr 5.102 2.946 7.308
Pr 7.653 4.419 0.154
Pr 5.102 2.946 4.090
Mg 7.653 4.419 3.225
Ni 6.386 2.205 1.619
Ni 6.391 5.147 5.735
Ni 3.819 2.205 1.619
Ni 8.915 5.147 5.735
Ni 2.551 1.473 3.658
Ni 7.653 4.419 7.886
Ni 5.102 4.428 1.619
Ni 7.653 2.961 5.735
```

---

12.
PrMg2Ni2: optimized geometry, PBE.

Cell and atoms, written as extended XYZ:
```
5
Lattice="-0.303 1.671 3.600 -4.964 1.210 -0.980 -0.097 -5.441 0.317" Properties=species:S:1:pos:R:3 pbc="T T T"
Pr 0.000 0.000 0.000
Mg -2.268 -2.646 1.038
Mg -3.096 0.087 1.899
Ni -0.783 -1.080 2.636
Ni -4.582 -1.480 0.301
```

---

Table of V (Å³ per atom), in record order: 20.854 20.297 29.559 24.740 23.046 22.490 32.097 26.544 30.861 15.966 15.807 20.387
Table of energy of formation from the pure elements (eV per atom), in record order: -0.2047 -0.1502 -0.1510 -0.1900 -0.2815 -0.1730 0.0035 -0.1386 -0.0271 -0.1745 -0.2949 -0.2264